Compound: Ti3Ni3Te2O16
Source: Alexandria via LeMat-Bulk
Functional: PBE with a Hubbard U
Structure: relaxed

a = 6.0114 Å, b = 6.0114 Å, c = 9.2142 Å
α = 88.82°, β = 88.82°, γ = 58.91°
Site moments in Bohr magnetons follow the coordinates.
Atoms (fractional coordinates):
O (0.0374, 0.4667, 0.1498)  0.04
O (0.4667, 0.0374, 0.1498)  0.04
Ni (0.8280, 0.8280, 0.7948)  1.75
O (0.1827, 0.1827, 0.8924)  0.00
Ti (0.1576, 0.1576, 0.2815)  0.03
Ti (0.8356, 0.3380, 0.7909)  0.01
O (0.5266, 0.5266, 0.6530)  0.00
O (0.8376, 0.3597, 0.3970)  0.02
Te (0.3373, 0.3373, 0.0160)  0.01
O (0.0055, 0.0055, 0.7043)  0.02
Ni (0.1632, 0.6572, 0.2921)  1.29
O (0.6540, 0.1807, 0.9029)  0.02
O (0.3597, 0.8376, 0.3970)  0.02
O (0.3329, 0.3329, 0.3875)  -0.33
O (0.6498, 0.6498, 0.9002)  0.02
O (0.4742, 0.4742, 0.1642)  -0.10
Te (0.6746, 0.6746, 0.5114)  0.01
O (0.9931, 0.9931, 0.1997)  -0.12
O (0.1807, 0.6540, 0.9029)  0.02
O (0.8388, 0.8388, 0.4092)  -0.04
O (0.5111, 0.9580, 0.6522)  0.03
Ti (0.3380, 0.8356, 0.7909)  0.01
Ni (0.6572, 0.1632, 0.2921)  1.29
O (0.9580, 0.5111, 0.6522)  0.03

Computed properties:
DOS(E_F)	0.4	states/eV/f.u.
total energy	-6.49	eV/atom
symmetry	Cm, No. 8